VASP calculation (GGA-PBEsol) on crystalline MgCdSbTe2 at its relaxed geometry.

Output
Its formation energy (no corrections) is 0.407 eV/atom. The total DFT energy (no corrections) is -12.49 eV per formula unit.

Cell lengths 5.3984, 5.3984, 5.3051 Å; angles 90.00, 90.00, 90.00 degrees
Atoms (fractional coordinates):
Mg  0.0000  0.0000  0.0000
Cd  0.5000  0.5000  0.5000
Sb  0.0000  0.0000  0.5000
Te  0.0000  0.5000  0.0000
Te  0.5000  0.0000  0.0000


VASP calculation (GGA-PBEsol) on crystalline MgSc2Cd at its relaxed geometry.

Output
The calculation puts the calculated formation energy at -0.1142 eV per atom. Its relative energy among the computed polymorphs is 77.3 meV per atom. The total DFT energy (no corrections) is -16.58 eV per formula unit.

Cell lengths 5.9588, 5.9588, 5.0498 Å; angles 114.90, 114.90, 33.25 degrees
Atoms (fractional coordinates):
Mg  0.0000  0.0000  0.0000
Sc  0.2348  0.2348  0.7364
Sc  0.4677  0.4677  0.4681
Cd  0.7225  0.7225  0.2245


VASP calculation (GGA-PBEsol) on crystalline MgSc2Cd at its relaxed geometry.

Output
The calculation puts the calculated formation energy at -0.1903 eV per atom. Its relative energy among the computed polymorphs is 1.1 meV per atom. The total DFT energy (no corrections) is -16.89 eV per formula unit.

Cell lengths 4.9675, 4.9675, 4.9675 Å; angles 60.00, 60.00, 60.00 degrees
Atoms (fractional coordinates):
Mg  0.0000  0.0000  0.0000
Sc  0.2500  0.2500  0.2500
Sc  0.7500  0.7500  0.7500
Cd  0.5000  0.5000  0.5000


Copy entry 2 word for word.
VASP calculation (GGA-PBEsol) on crystalline MgSc2Cd at its relaxed geometry.

Output
The calculation puts the calculated formation energy at -0.1142 eV per atom. Its relative energy among the computed polymorphs is 77.3 meV per atom. The total DFT energy (no corrections) is -16.58 eV per formula unit.

Cell lengths 5.9588, 5.9588, 5.0498 Å; angles 114.90, 114.90, 33.25 degrees
Atoms (fractional coordinates):
Mg  0.0000  0.0000  0.0000
Sc  0.2348  0.2348  0.7364
Sc  0.4677  0.4677  0.4681
Cd  0.7225  0.7225  0.2245


Question: Which formula does entry 2 have?
Answer: MgSc2Cd


Question: Which of these has the lowest total DFT energy (no corrections)?
Answer: number 3


Question: total DFT energy (no corrections) of number 1 (MgCdSbTe2)?
Answer: -12.49 eV per formula unit